This record from the Alexandria database describes HgPSe2 after structural relaxation. The functional is PBE-GGA.

Unit cell a=3.4893 b=3.4893 c=28.7130 alpha=90.00 beta=90.00 gamma=120.00
Space group R-3m (No. 166, hexagonal axes)
Asymmetric unit:
Hg 0.0000 0.0000 0.0000
P 0.0000 0.0000 0.5000
Se 0.0000 0.0000 0.2188



This record from the Alexandria database describes Sm4Hg2PSe after structural relaxation. The functional is PBE-GGA.

Unit cell a=7.0339 b=4.0674 c=8.0553 alpha=90.00 beta=106.87 gamma=90.00
Space group P2/m (No. 10)
Asymmetric unit:
Sm 0.2294 0.0000 0.2148
Sm 0.2514 0.5000 0.7809
Hg 0.0000 0.0000 0.5000
Hg 0.5000 0.5000 0.5000
P 0.0000 0.5000 0.0000
Se 0.5000 0.0000 0.0000



This record from the Alexandria database describes Tb4Hg2PSe after structural relaxation. The functional is PBE-GGA.

Unit cell a=6.8618 b=3.9689 c=7.9981 alpha=90.00 beta=106.57 gamma=90.00
Space group P2/m (No. 10)
Asymmetric unit:
Tb 0.2288 0.0000 0.2145
Tb 0.2507 0.5000 0.7806
Hg 0.0000 0.0000 0.5000
Hg 0.5000 0.5000 0.5000
P 0.0000 0.5000 0.0000
Se 0.5000 0.0000 0.0000



Number 1: Fermi-level density of states 8.45 states/eV per cell, raw formation energy 37 meV per atom. Number 2: Fermi-level density of states 4.38 states/eV per cell, raw formation energy -1068 meV per atom. Number 3: Fermi-level density of states 3.99 states/eV per cell, raw formation energy -1070 meV per atom.